1.
Material: YHfZrCd2
Method: DFT, GGA-PBE
State: optimized geometry

```
YHfZrCd2
1.0
-2.1163 4.7339 -1.3550
0.4308 -1.2637 -5.0876
-4.9044 -2.1580 0.1207
Zr Cd Y Hf
1 2 1 1
Direct
0.5000 0.5000 0.5000 Zr
0.0000 0.0000 0.5000 Cd
0.5000 0.0000 0.0000 Cd
0.0000 0.5000 0.0000 Y
0.0000 0.0000 0.0000 Hf
```

Space-group type = No. 123
Spin magnetization = 1.7 μB per formula unit
Calculated total energy = -21.24 eV per cell
Calculated volume = 30.217 Å³ per atom
DFT formation energy = 536 kJ/mol of formula units

2.
Material: Y2PaAl3Ga6
Method: DFT, GGA-PBE
State: optimized geometry

```
Y2PaAl3Ga6
1.0
4.1720 0.0000 0.0000
0.0000 4.1720 0.0000
0.0000 0.0000 13.9811
Y Ga Pa Al
2 6 1 3
Direct
0.5000 0.5000 0.8691 Y
0.5000 0.5000 0.1309 Y
0.5000 0.0000 0.6947 Ga
0.0000 0.0000 0.8198 Ga
0.0000 0.5000 0.6947 Ga
0.5000 0.0000 0.3053 Ga
0.0000 0.5000 0.3053 Ga
0.0000 0.0000 0.1802 Ga
0.5000 0.5000 0.5000 Pa
0.0000 0.0000 0.5848 Al
0.0000 0.0000 0.0000 Al
0.0000 0.0000 0.4152 Al
```

Space-group type = No. 123
Spin magnetization = 0.6 μB per formula unit
Calculated total energy = -55.10 eV per cell
Calculated volume = 20.279 Å³ per atom
DFT formation energy = -317 kJ/mol of formula units